Material: LuGaW
Method: DFT, PBE
State: relaxed

Properties
ΔE to the lowest computed polymorph = 0.0 meV/atom

Cell lengths 4.597, 4.597, 4.597 Å; angles 60.00, 60.00, 60.00 degrees
Element x y z (fractional)
Ga (0.250, 0.250, 0.250)
Lu (0.750, 0.750, 0.750)
W (0.000, 0.000, 0.000)